[1]
Here is a relaxed structure of La2Pr2YEr2 from Alexandria via LeMat-Bulk. Energies are from PBE.

a b c (Å): 6.292 6.292 8.186
angles (deg): 97.38 97.38 48.40
Atoms (fractional coordinates):
La  0.142  0.142  0.426
La  0.858  0.858  0.574
Pr  0.286  0.286  0.859
Pr  0.714  0.714  0.141
Y  0.000  0.000  0.000
Er  0.429  0.429  0.286
Er  0.571  0.571  0.714

ρ   6.8 g/cm3
Symmetry   No. 12
Energy of formation   0.0246 eV per atom
DFT total energy   -34.83 eV per cell

[2]
Here is a relaxed structure of Rb3HfGe from Alexandria via LeMat-Bulk. Energies are from PBE.

a b c (Å): 6.751 6.751 6.751
angles (deg): 90.00 90.00 90.00
Atoms (fractional coordinates):
Rb  0.000  0.000  0.500
Rb  0.000  0.500  0.000
Rb  0.500  0.000  0.000
Hf  0.500  0.500  0.500
Ge  0.000  0.000  0.000

ρ   2.7 g/cm3
Symmetry   No. 221
Energy of formation   1.2418 eV per atom
Energy above the lowest structure with this stoichiometry   0 meV per atom
DFT total energy   -11.26 eV per cell

Q: Among the records above, which one has the highest DFT total energy?
A: Rb3HfGe